Record 1
DFT (PBE) results for a geometry-optimized Tb3Pr4Sm4 structure.

## Properties
The formation energy comes out at 0.123 eV per atom. For the total energy, the calculation gives -4.59 eV/atom. The density of states at the Fermi level comes out at 17.0 states/eV per cell. The excess energy over the best structure of this formula in the dataset comes out at 0.00 eV/f.u.

abc: 3.663 9.610 12.117
angles: 113.36 98.69 90.00
Fractional positions:
Tb 0.894 0.894 0.788
Tb 0.106 0.106 0.212
Tb 0.000 0.500 0.000
Pr 0.644 0.468 0.289
Pr 0.356 0.180 0.711
Pr 0.356 0.532 0.711
Pr 0.644 0.820 0.289
Sm 0.738 0.238 0.476
Sm 0.262 0.762 0.524
Sm 0.500 0.815 0.000
Sm 0.500 0.185 0.000



Record 2
DFT (PBE) results for a geometry-optimized Tb2PrSm3 structure.

## Properties
The formation energy comes out at 0.332 eV per atom. For the total energy, the calculation gives -4.37 eV/atom. The density of states at the Fermi level comes out at 11.5 states/eV per cell. The excess energy over the best structure of this formula in the dataset comes out at 1.92 eV/f.u.

abc: 3.495 5.991 10.448
angles: 106.66 99.63 90.00
Fractional positions:
Tb 0.638 0.638 0.277
Tb 0.362 0.362 0.723
Pr 0.000 0.000 0.000
Sm 0.000 0.500 0.000
Sm 0.808 0.808 0.616
Sm 0.192 0.192 0.384



Record 3
DFT (PBE) results for a geometry-optimized TbPr6Sm12 structure.

## Properties
The formation energy comes out at 0.135 eV per atom. For the total energy, the calculation gives -4.60 eV/atom. The density of states at the Fermi level comes out at 30.4 states/eV per cell. The excess energy over the best structure of this formula in the dataset comes out at 0.00 eV/f.u.

abc: 8.728 8.728 8.728
angles: 89.32 89.32 89.32
Fractional positions:
Tb 0.000 0.000 0.000
Pr 0.738 0.907 0.305
Pr 0.695 0.262 0.093
Pr 0.093 0.695 0.262
Pr 0.262 0.093 0.695
Pr 0.305 0.738 0.907
Pr 0.907 0.305 0.738
Sm 0.778 0.536 0.437
Sm 0.437 0.778 0.536
Sm 0.536 0.437 0.778
Sm 0.222 0.464 0.563
Sm 0.563 0.222 0.464
Sm 0.464 0.563 0.222
Sm 0.017 0.196 0.358
Sm 0.804 0.642 0.983
Sm 0.642 0.983 0.804
Sm 0.983 0.804 0.642
Sm 0.196 0.358 0.017
Sm 0.358 0.017 0.196



Record 4
DFT (PBE) results for a geometry-optimized Tb7Pr3Sm structure.

## Properties
The formation energy comes out at 0.139 eV per atom. For the total energy, the calculation gives -4.54 eV/atom. The density of states at the Fermi level comes out at 15.9 states/eV per cell. The excess energy over the best structure of this formula in the dataset comes out at 0.00 eV/f.u.

abc: 5.589 10.173 8.978
angles: 106.08 128.47 90.01
Fractional positions:
Tb 0.910 0.829 0.910
Tb 0.857 0.711 0.357
Tb 0.683 0.363 0.183
Tb 0.317 0.637 0.817
Tb 0.500 0.000 0.500
Tb 0.143 0.289 0.643
Tb 0.090 0.171 0.090
Pr 0.283 0.002 0.783
Pr 0.000 0.500 0.000
Pr 0.717 0.998 0.217
Sm 0.500 0.500 0.500



Record 5
DFT (PBE) results for a geometry-optimized Tb3Pr2Sm6 structure.

## Properties
The formation energy comes out at 0.171 eV per atom. For the total energy, the calculation gives -4.53 eV/atom. The density of states at the Fermi level comes out at 17.4 states/eV per cell. The excess energy over the best structure of this formula in the dataset comes out at 0.00 eV/f.u.

abc: 6.216 6.224 11.856
angles: 84.90 79.74 60.04
Fractional positions:
Tb 0.000 0.000 0.000
Tb 0.335 0.330 0.000
Tb 0.665 0.670 0.000
Pr 0.167 0.667 0.500
Pr 0.833 0.333 0.500
Sm 0.416 0.667 0.752
Sm 0.749 0.000 0.753
Sm 0.083 0.333 0.752
Sm 0.251 0.000 0.247
Sm 0.584 0.333 0.248
Sm 0.917 0.667 0.248



Record 6
DFT (PBE) results for a geometry-optimized Tb7PrSm2 structure.

## Properties
The formation energy comes out at 0.678 eV per atom. For the total energy, the calculation gives -3.98 eV/atom. The density of states at the Fermi level comes out at 15.0 states/eV per cell. The excess energy over the best structure of this formula in the dataset comes out at 6.31 eV/f.u.

abc: 5.562 9.302 9.302
angles: 124.18 90.00 90.00
Fractional positions:
Tb 0.000 0.785 0.215
Tb 0.000 0.215 0.785
Tb 0.500 0.064 0.291
Tb 0.500 0.936 0.709
Tb 0.500 0.291 0.064
Tb 0.500 0.709 0.936
Tb 0.500 0.500 0.500
Pr 0.000 0.000 0.000
Sm 0.500 0.703 0.297
Sm 0.500 0.297 0.703



Record 7
DFT (PBE) results for a geometry-optimized Tb5Pr5Sm2 structure.

## Properties
The formation energy comes out at 0.016 eV per atom. For the total energy, the calculation gives -4.69 eV/atom. The density of states at the Fermi level comes out at 17.9 states/eV per cell.

abc: 5.134 8.133 10.920
angles: 72.75 76.41 71.60
Fractional positions:
Tb 0.500 0.500 0.500
Tb 0.333 0.334 0.000
Tb 0.418 0.915 0.249
Tb 0.582 0.085 0.751
Tb 0.667 0.666 0.000
Pr 0.835 0.831 0.499
Pr 0.250 0.748 0.752
Pr 0.750 0.252 0.248
Pr 0.165 0.169 0.501
Pr 0.000 0.000 0.000
Sm 0.917 0.414 0.752
Sm 0.083 0.586 0.248



Record 8
DFT (PBE) results for a geometry-optimized Tb8Pr2Sm3 structure.

## Properties
The formation energy comes out at 0.238 eV per atom. For the total energy, the calculation gives -4.44 eV/atom. The density of states at the Fermi level comes out at 22.7 states/eV per cell. The excess energy over the best structure of this formula in the dataset comes out at 1.40 eV/f.u.

abc: 5.623 7.708 11.062
angles: 110.39 90.01 90.00
Fractional positions:
Tb 0.000 0.664 0.327
Tb 0.000 0.336 0.673
Tb 0.000 0.130 0.260
Tb 0.000 0.870 0.740
Tb 0.500 0.605 0.787
Tb 0.500 0.183 0.787
Tb 0.500 0.817 0.213
Tb 0.500 0.395 0.213
Pr 0.500 0.241 0.483
Pr 0.500 0.759 0.517
Sm 0.500 0.000 0.000
Sm 0.000 0.291 0.000
Sm 0.000 0.709 0.000